(1)
AcEuY | PBE-GGA | optimized geometry

Geometry as POSCAR:
```
AcEuY
1.0
-1.9335 1.9335 7.8873
1.9335 -1.9335 7.8873
1.9335 1.9335 -7.8873
Ac Eu Y
1 1 1
direct
0.0000 0.0000 0.0000 Ac
0.3200 0.3200 0.0000 Eu
0.6574 0.6574 0.0000 Y
```

Output
The space group is I4mm. The calculation puts the density of states at the Fermi level at 3.876 states/eV/f.u. The calculation puts the formation energy from the elements at 0.16 eV per formula unit. The energy above the most stable polymorph in this dataset comes out at 0.005 eV/atom.

(2)
AcEu2Y | PBE-GGA | optimized geometry

Geometry as POSCAR:
```
AcEu2Y
1.0
3.8203 0.0000 0.0000
0.0000 3.8203 0.0000
0.0000 0.0000 10.8311
Ac Eu Y
1 2 1
direct
0.0000 0.0000 0.0000 Ac
0.5000 0.5000 0.2631 Eu
0.5000 0.5000 0.7369 Eu
0.0000 0.0000 0.5000 Y
```

Output
The space group is P4/mmm. The calculation puts the density of states at the Fermi level at 4.227 states/eV/f.u. The calculation puts the formation energy from the elements at 0.36 eV per formula unit. The energy above the most stable polymorph in this dataset comes out at 0.011 eV/atom.

(3)
AcEu2Y | PBE-GGA | optimized geometry

Geometry as POSCAR:
```
AcEu2Y
1.0
6.0692 0.0000 0.0000
0.0000 6.0692 0.0000
0.0000 0.0000 4.2866
Ac Eu Y
1 2 1
direct
0.0000 0.0000 0.0000 Ac
0.0000 0.5000 0.5000 Eu
0.5000 0.0000 0.5000 Eu
0.5000 0.5000 0.0000 Y
```

Output
The space group is P4/mmm. The calculation puts the density of states at the Fermi level at 5.323 states/eV/f.u. The calculation puts the formation energy from the elements at 0.52 eV per formula unit. The energy above the most stable polymorph in this dataset comes out at 0.052 eV/atom.